# 1
VASP calculation (GGA-PBE) on a geometry-optimized Ti6AlHg structure.

a = 4.0795 Å, b = 4.0795 Å, c = 8.2122 Å
α = 90.00°, β = 90.00°, γ = 90.00°
Last column: nearest neighbours and their distance in Å.
Space group P4/mmm (No. 123)
Symmetry-distinct sites (fractional):
Ti 0.0000 0.0000 0.0000 x1  8 Ti 2.84, 4 Al 2.88
Ti 0.0000 0.0000 0.5000 x1  4 Hg 2.88, 8 Ti 2.95
Ti 0.0000 0.5000 0.2412 x4  2 Al 2.84, 8 Ti 2.84-2.95, 2 Hg 2.95
Al 0.5000 0.5000 0.0000 x1  12 Ti 2.84-2.88
Hg 0.5000 0.5000 0.5000 x1  12 Ti 2.88-2.95

Results
Its density is 6.25 g/cm³. The raw total energy is -6.581 eV per atom. As for the excess energy over the best structure of this formula in the dataset: 0 meV per atom. The value obtained for the formation energy from the elements is -0.15 eV per atom.



# 2
VASP calculation (GGA-PBE) on a geometry-optimized Li2TeMo structure.

a = 3.4823 Å, b = 5.0748 Å, c = 9.2702 Å
α = 90.00°, β = 90.00°, γ = 90.00°
Last column: nearest neighbours and their distance in Å.
Space group Cmm2 (No. 35)
Symmetry-distinct sites (fractional):
Li 0.0000 0.0000 0.0000 x2  2 Te 3.02, 6 Li 3.06-3.08
Li 0.0000 0.5000 0.2715 x2  2 Mo 2.82, 6 Li 3.06-3.08
Te 0.0000 0.5000 0.7343 x2  2 Mo 2.70, 2 Li 3.02
Mo 0.0000 0.0000 0.5115 x2  2 Te 2.70, 2 Li 2.82

Results
Its density is 4.81 g/cm³. The raw total energy is -4.064 eV per atom.



# 3
VASP calculation (GGA-PBE) on a geometry-optimized K3HoBi2S6 structure.

a = 7.1444 Å, b = 12.3737 Å, c = 7.7630 Å
α = 90.00°, β = 107.86°, γ = 90.00°
Last column: nearest neighbours and their distance in Å.
Space group C2/m (No. 12)
Symmetry-distinct sites (fractional):
K 0.0000 0.0000 0.0000 x2  6 S 3.20-3.27
K 0.0000 0.3303 0.0000 x4  6 S 3.20-3.25
Ho 0.0000 0.5000 0.5000 x2  6 S 2.77
Bi 0.0000 0.1663 0.5000 x4  6 S 2.86
S 0.2307 0.3381 0.7065 x8  1 Ho 2.77, 2 Bi 2.86
S 0.2453 0.0000 0.7072 x4  1 Ho 2.77, 2 Bi 2.86

Results
Its density is 4.54 g/cm³. The raw total energy is -4.533 eV per atom.



# 4
VASP calculation (GGA-PBE) on a geometry-optimized BaUNi2Se4 structure.

a = 6.5301 Å, b = 7.4590 Å, c = 8.4095 Å
α = 90.00°, β = 90.00°, γ = 90.00°
Last column: nearest neighbours and their distance in Å.
Space group I222 (No. 23)
Symmetry-distinct sites (fractional):
Ba 0.0000 0.0000 0.0000 x2  8 Se 3.25-3.34
U 0.0000 0.0000 0.5000 x2  4 Se 2.76
Ni 0.0000 0.5000 0.1407 x4  2 Se 2.33, 1 Ni 2.37
Se 0.2412 0.2036 0.2994 x8  1 Ni 2.33

Results
Its density is 6.56 g/cm³. The raw total energy is -5.573 eV per atom.



# 5
VASP calculation (GGA-PBE) on a geometry-optimized CaTbGe2Pt5 structure.

a = 4.2342 Å, b = 4.2342 Å, c = 9.0921 Å
α = 90.00°, β = 90.00°, γ = 90.00°
Last column: nearest neighbours and their distance in Å.
Space group P4/mmm (No. 123)
Symmetry-distinct sites (fractional):
Ca 0.0000 0.0000 0.0000 x1  12 Pt 2.96-2.99
Tb 0.0000 0.0000 0.5000 x1  8 Ge 3.23, 8 Pt 3.25
Ge 0.5000 0.5000 0.3656 x2  1 Ge 2.44, 4 Pt 2.46
Pt 0.0000 0.5000 0.2281 x4  2 Ge 2.46
Pt 0.5000 0.5000 0.0000 x1  8 Pt 2.96, 4 Ca 2.99

Results
Its density is 13.44 g/cm³. The raw total energy is -5.915 eV per atom. The value obtained for the formation energy from the elements is -0.80 eV per atom.



# 6
VASP calculation (GGA-PBE) on a geometry-optimized PmY2Sb3 structure.

a = 4.4267 Å, b = 6.2593 Å, c = 13.2743 Å
α = 90.00°, β = 90.00°, γ = 90.00°
Last column: nearest neighbours and their distance in Å.
Space group Immm (No. 71)
Symmetry-distinct sites (fractional):
Pm 0.0000 0.0000 0.0000 x2  6 Sb 3.13-3.16
Y 0.0000 0.0000 0.3344 x4  6 Sb 3.11-3.13
Sb 0.0000 0.5000 0.0000 x2  4 Y 3.12, 2 Pm 3.13
Sb 0.0000 0.5000 0.3298 x4  4 Y 3.11-3.13, 2 Pm 3.16

Results
Its density is 6.21 g/cm³. The raw total energy is -6.177 eV per atom.



# 7
VASP calculation (GGA-PBE) on a geometry-optimized HfTlTe2 structure.

a = 3.5190 Å, b = 23.0285 Å, c = 5.6421 Å
α = 90.00°, β = 90.00°, γ = 90.00°
Last column: nearest neighbours and their distance in Å.
Space group Cmcm (No. 63)
Symmetry-distinct sites (fractional):
Hf 0.0000 0.0411 0.2500 x4  2 Te 2.88, 2 Tl 3.01
Tl 0.0000 0.4348 0.2500 x4  6 Hf 3.01-3.37, 3 Te 3.05-3.30
Te 0.0000 0.3023 0.2500 x4  1 Tl 3.05, 2 Te 3.12
Te 0.0000 0.3601 0.7500 x4  2 Hf 2.88, 2 Te 3.12

Results
Its density is 9.27 g/cm³. The raw total energy is -4.583 eV per atom.



# 8
VASP calculation (GGA-PBE) on a geometry-optimized CaTlPdSeF structure.

a = 10.3038 Å, b = 4.7620 Å, c = 4.8460 Å
α = 90.00°, β = 90.18°, γ = 90.00°
Last column: nearest neighbours and their distance in Å.
Space group Cm (No. 8)
Symmetry-distinct sites (fractional):
Ca 0.0000 0.0000 0.0000 x2  2 F 2.42-2.43
Tl 0.3956 0.0000 0.4991 x2  2 F 2.63, 2 Pd 2.69
Pd 0.2819 0.0000 0.9986 x2  2 Se 2.52, 2 Tl 2.69
Se 0.2007 0.5000 0.9951 x2  2 Pd 2.52
F 0.0040 0.0000 0.4989 x2  2 Ca 2.42-2.43, 2 Tl 2.63

Results
Its density is 6.27 g/cm³. The raw total energy is -4.385 eV per atom. As for the excess energy over the best structure of this formula in the dataset: 79 meV per atom.



# 9
VASP calculation (GGA-PBE) on a geometry-optimized AsIrCl2 structure.

a = 3.0980 Å, b = 4.7771 Å, c = 13.2685 Å
α = 90.00°, β = 90.00°, γ = 90.00°
Last column: nearest neighbours and their distance in Å.
Space group Immm (No. 71)
Symmetry-distinct sites (fractional):
As 0.0000 0.0000 0.0000 x2  4 Ir 2.85, 4 Cl 3.01, 2 As 3.10
Ir 0.0000 0.0000 0.5000 x2  4 Cl 2.40
Cl 0.0000 0.5000 0.1378 x4  2 Ir 2.40

Results
Its density is 5.72 g/cm³. The raw total energy is -4.059 eV per atom. As for the excess energy over the best structure of this formula in the dataset: 712 meV per atom.



# 10
VASP calculation (GGA-PBE) on a geometry-optimized MnCdIr2 structure.

a = 2.8412 Å, b = 4.7794 Å, c = 9.3344 Å
α = 90.00°, β = 90.00°, γ = 90.00°
Last column: nearest neighbours and their distance in Å.
Space group Cmm2 (No. 35)
Symmetry-distinct sites (fractional):
Mn 0.0000 0.0000 0.0000 x2  2 Ir 2.53, 4 Mn 2.78
Cd 0.0000 0.5000 0.7357 x2  6 Cd 2.78-2.84, 2 Ir 2.84, 2 Mn 2.85
Ir 0.0000 0.0000 0.4721 x2  8 Ir 2.72-2.84, 2 Cd 2.84
Ir 0.0000 0.5000 0.2242 x2  2 Mn 2.53, 6 Ir 2.72-2.78

Results
Its density is 14.46 g/cm³. The raw total energy is -6.639 eV per atom. The value obtained for the formation energy from the elements is 0.31 eV per atom.



# 11
VASP calculation (GGA-PBE) on a geometry-optimized Pm3TmPb2C structure.

a = 4.8133 Å, b = 4.9737 Å, c = 16.5588 Å
α = 90.00°, β = 90.00°, γ = 90.00°
Last column: nearest neighbours and their distance in Å.
Space group Immm (No. 71)
Symmetry-distinct sites (fractional):
Pm 0.0000 0.0000 0.0000 x2  2 C 2.49
Pm 0.0000 0.5000 0.1589 x4  1 C 2.63
Tm 0.0000 0.0000 0.5000 x2  2 C 2.41
Pb 0.0000 0.5000 0.3600 x4  7 Pm 3.33-3.47, 2 Tm 3.40
C 0.0000 0.5000 0.0000 x2  2 Tm 2.41, 4 Pm 2.49-2.63

Results
Its density is 8.63 g/cm³. The raw total energy is -5.583 eV per atom. The value obtained for the formation energy from the elements is -0.53 eV per atom.



# 12
VASP calculation (GGA-PBE) on a geometry-optimized MgAgSe2O8 structure.

a = 5.0166 Å, b = 5.0166 Å, c = 22.4078 Å
α = 90.00°, β = 90.00°, γ = 120.00°
Last column: nearest neighbours and their distance in Å.
Space group R-3 (No. 148, hexagonal axes)
Symmetry-distinct sites (fractional):
Mg 0.0000 0.0000 0.0000 x3  6 O 2.10
Ag 0.0000 0.0000 0.5000 x3  12 O 2.91-3.02
Se 0.0000 0.0000 0.2555 x6  4 O 1.67-1.70
O 0.0000 0.0000 0.1795 x6  1 Se 1.70
O 0.0102 0.3233 0.7232 x18  1 Se 1.67

Results
Its density is 4.26 g/cm³. The raw total energy is -5.038 eV per atom.